VASP calculation (PBE) on a relaxed structure of RbCd3Rh.

Crystal system: tetragonal
Uncorrected energy, eV/atom: -1.877
Magnetization, μB per cell: 0.0
Energy of formation, eV per atom: 0.34
Space group: I-4m2 (119)
Energy above the most stable polymorph in this dataset, eV per atom: 0.444

a = 5.2408 Å, b = 5.2408 Å, c = 13.2416 Å
α = 78.59°, β = 78.59°, γ = 90.00°
Closest atoms and distances in Å follow each position.
Fractional positions:
1 Cd 0.6214 0.8668 0.2664  2 Cd 2.57-2.67
2 Cd 0.6617 0.6617 0.6766  2 Rh 2.80, 4 Cd 3.03
3 Cd 0.1332 0.8878 0.7336  2 Cd 2.57-2.67
4 Cd 0.1332 0.3786 0.7336  2 Cd 2.57-2.67
5 Cd 0.1122 0.8668 0.2664  2 Cd 2.57-2.67
6 Cd 0.3383 0.3383 0.3234  2 Rh 2.80, 4 Cd 3.03
7 Rb 0.0000 0.0000 0.0000  4 Cd 3.62
8 Rb 0.2500 0.7500 0.5000  8 Cd 3.26-3.45
9 Rh 0.7994 0.2994 0.4013  1 Rh 2.51, 2 Cd 2.80
10 Rh 0.7006 0.2006 0.5987  1 Rh 2.51, 2 Cd 2.80